4
Lattice="3.3194 0.0000 0.0000 0.0000 5.3907 -0.3426 -1.6597 -2.6013 7.0087" Properties=species:S:1:pos:R:3 comment="Al2BrCl, single point on PBEsol structure, DFT SCAN" magnetic_moment_mub_per_fu=0.0 sg=Cm dft_energy_ev_per_atom=-11.133 pbc="T T T"
Al 1.6597 2.4325 6.1665
Al 0.0000 -1.6715 4.7078
Br 0.0000 0.2900 6.3525
Cl 1.6597 -0.7688 3.2854

---

6
Lattice="5.1935 0.0000 0.0000 2.5968 4.4977 0.0000 2.5968 1.4992 4.2405" Properties=species:S:1:pos:R:3 comment="AlPt2, single point on PBEsol structure, DFT SCAN" magnetic_moment_mub_per_fu=0.0 sg=Fd-3m formation_energy_ev_per_atom=-0.252 dft_energy_ev_per_atom=-49.632 pbc="T T T"
Al 5.1935 2.9985 2.1202
Al 7.7903 4.4977 3.1804
Pt 1.2984 0.7496 0.5301
Pt 2.5968 1.4992 2.6503
Pt 2.5968 2.9985 0.5301
Pt 3.8951 0.7496 0.5301

---

78
Lattice="9.8745 0.0000 0.0000 -4.9373 8.5516 0.0000 0.0000 0.0000 14.3812" Properties=species:S:1:pos:R:3 comment="K3TbSi2O7, single point on PBEsol structure, DFT SCAN" magnetic_moment_mub_per_fu=0.0 sg=P6_3/mcm dft_energy_ev_per_atom=-13.384 pbc="T T T"
K 0.0000 0.0000 0.0000
K -3.2956 5.7082 5.8988
K 3.2956 5.7082 13.0894
K 3.2833 0.0000 13.0894
K 6.5913 0.0000 5.8988
K 1.6416 2.8434 5.8988
K -3.2956 5.7082 1.2918
K 0.0000 0.0000 7.1906
K 0.0000 5.7011 10.7859
K 4.9373 2.8505 3.5953
K 4.9373 2.8505 10.7859
K 0.0000 5.7011 3.5953
K 1.6416 2.8434 1.2918
K -1.6416 2.8434 8.4824
K 3.2833 0.0000 8.4824
K 6.5913 0.0000 1.2918
K -1.6416 2.8434 13.0894
K 3.2956 5.7082 8.4824
Tb 0.0000 0.0000 10.7859
Tb 0.0000 5.7011 7.1906
Tb 4.9373 2.8505 0.0000
Tb 4.9373 2.8505 7.1906
Tb 0.0000 5.7011 0.0000
Tb 0.0000 0.0000 3.5953
Si 1.6842 2.9171 9.2447
Si -3.2531 5.6345 9.2447
Si 6.5062 0.0000 9.2447
Si 3.3684 0.0000 2.0541
Si -3.2531 5.6345 12.3270
Si 3.2531 5.6345 2.0541
Si -1.6842 2.9171 2.0541
Si 3.2531 5.6345 5.1364
Si 3.3684 0.0000 5.1364
Si 6.5062 0.0000 12.3270
Si 1.6842 2.9171 12.3270
Si -1.6842 2.9171 5.1364
O -2.9219 5.0608 10.7859
O 2.9219 5.0608 3.5953
O 4.0308 0.0000 3.5953
O 5.8437 0.0000 10.7859
O 2.0154 3.4908 10.7859
O -2.0154 3.4908 3.5953
O 0.8695 1.5060 9.3106
O -4.0678 7.0456 9.3106
O 8.1355 0.0000 9.3106
O 1.7390 0.0000 2.1200
O -4.0678 7.0456 12.2612
O 4.0678 7.0456 2.1200
O -0.8695 1.5060 2.1200
O 4.0678 7.0456 5.0706
O 1.7390 0.0000 5.0706
O 8.1355 0.0000 12.2612
O 0.8695 1.5060 12.2612
O -0.8695 1.5060 5.0706
O -1.8096 5.8048 8.5079
O 0.9946 7.2164 8.5079
O 0.8150 4.0820 8.5079
O 4.1223 4.4696 1.3173
O 3.1277 2.7468 13.0638
O 6.7469 2.7468 1.3173
O 3.9426 1.3352 1.3173
O -0.9946 7.2164 5.8732
O -0.8150 4.0820 5.8732
O 5.7522 4.4696 13.0638
O 5.9319 1.3352 13.0638
O 1.8096 5.8048 5.8732
O 6.7469 2.7468 5.8732
O 3.9426 1.3352 5.8732
O 4.1223 4.4696 5.8732
O 0.8150 4.0820 13.0638
O 1.8096 5.8048 1.3173
O -1.8096 5.8048 13.0638
O 3.1277 2.7468 8.5079
O -0.9946 7.2164 1.3173
O -0.8150 4.0820 1.3173
O 5.7522 4.4696 8.5079
O 5.9319 1.3352 8.5079
O 0.9946 7.2164 13.0638

---

5
Lattice="4.2762 0.0000 0.0000 0.0000 4.2762 0.0000 0.0000 0.0000 4.7208" Properties=species:S:1:pos:R:3 comment="CoCuS2Cl, single point on PBEsol structure, DFT SCAN" magnetic_moment_mub_per_fu=2.7 sg=P4/mmm dft_energy_ev_per_atom=-11.555 pbc="T T T"
S 0.0000 2.1381 0.0000
S 2.1381 0.0000 0.0000
Co 0.0000 0.0000 0.0000
Cu 2.1381 2.1381 2.3604
Cl 0.0000 0.0000 2.3604

---

4
Lattice="-0.6670 0.3522 3.4359 3.8427 -3.3045 1.0847 1.8334 5.5360 -2.0123" Properties=species:S:1:pos:R:3 comment="Ca2AlZn, single point on PBEsol structure, DFT SCAN" magnetic_moment_mub_per_fu=0.0 sg=Imm2 formation_energy_ev_per_atom=-0.211 dft_energy_ev_per_atom=-10.359 pbc="T T T"
Zn 3.2215 3.8228 0.2336
Ca 0.1321 0.1568 0.0096
Ca 3.4206 0.1268 0.6510
Al 1.6562 2.5371 1.8622

---

4
Lattice="-2.2721 3.7701 0.3513 -0.9000 1.6722 3.9866 5.7709 5.9472 1.2538" Properties=species:S:1:pos:R:3 comment="Sr2SiAg, single point on PBEsol structure, DFT SCAN" magnetic_moment_mub_per_fu=0.4 sg=R3m dft_energy_ev_per_atom=-21.822 pbc="T T T"
Sr -2.3457 5.9425 4.3147
Sr 1.1190 8.0397 4.2172
Si 1.5115 3.3690 1.3737
Ag 0.4414 5.1754 2.8200

---

8
Lattice="-3.7732 -2.2287 -1.6294 2.6810 -3.6167 -1.2615 -0.5677 -0.3769 8.5381" Properties=species:S:1:pos:R:3 comment="YAl2Ni, single point on PBEsol structure, DFT SCAN" magnetic_moment_mub_per_fu=0.0 sg=I-42d formation_energy_ev_per_atom=-0.077 dft_energy_ev_per_atom=-14.957 pbc="T T T"
Y 0.7836 -3.4581 2.9155
Y 0.0000 0.0000 0.0000
Ni -2.4436 -2.7642 2.7316
Ni -0.5461 -2.9227 -1.4455
Al 0.0707 -4.5188 0.1095
Al -1.7199 -2.9763 0.5459
Al -0.0520 -1.7018 5.8020
Al -1.6188 -3.2476 4.8369

---

5
Lattice="5.2085 0.0000 0.0000 0.0000 5.2085 0.0000 0.0000 0.0000 5.2085" Properties=species:S:1:pos:R:3 comment="SrBiP3, single point on PBEsol structure, DFT SCAN" magnetic_moment_mub_per_fu=0.0 de_polymorph_mev_per_atom=0 sg=Pm-3m formation_energy_ev_per_atom=0.487 dft_energy_ev_per_atom=-25.923 pbc="T T T"
Sr 2.6043 2.6043 2.6043
Bi 0.0000 0.0000 0.0000
P 0.0000 2.6043 0.0000
P 0.0000 0.0000 2.6043
P 2.6043 0.0000 0.0000